# SrVSi2O7, optimized geometry, DFT GGA-PBEsol
# **Energy relative to the elements, uncorrected**: -2960 kJ/mol of formula units
# **Total magnetic moment**: 4.000 μB per cell
data_SrVSi2O7
_chemical_formula_sum 'Sr4 V4 Si8 O28'
_cell_length_a 5.3091
_cell_length_b 14.5843
_cell_length_c 7.0268
_cell_angle_alpha 90.00
_cell_angle_beta 90.00
_cell_angle_gamma 90.00
_space_group_name_H-M_alt 'C m c m'
_space_group_IT_number 63
_space_group_name_Hall '-C 2c 2'
loop_
_atom_site_label
_atom_site_type_symbol
_atom_site_fract_x
_atom_site_fract_y
_atom_site_fract_z
_atom_site_occupancy
Sr1 Sr 0.0000 0.2040 0.2500 1
V1 V 0.0000 0.1090 0.7500 1
Si1 Si 0.0000 0.3908 0.5228 1
O1 O 0.0000 0.0016 0.2500 1
O2 O 0.0000 0.3602 0.7500 1
O3 O 0.0000 0.5000 0.0000 1
O4 O 0.2457 0.1548 0.5626 1